[1]
Sr2DyTlCl8 (PBE, optimized geometry); E = -50.9 eV per cell; symmetry = P2/m (10); crystal system = monoclinic; total magnetic moment = 0.0 μB/cell; calculated volume = 33.796 A^3/atom; DOS(E_F) = 0.00 states/eV per atom
1.0
6.573 0.000 0.000
0.000 9.090 0.000
-0.001 0.000 6.788
Sr Dy Tl Cl
2 1 1 8
direct
0.000 0.250 0.000 Sr
0.000 0.750 0.000 Sr
0.500 0.000 0.500 Dy
0.500 0.500 0.500 Tl
0.223 0.500 0.863 Cl
0.238 0.000 0.811 Cl
0.278 0.208 0.333 Cl
0.278 0.792 0.333 Cl
0.722 0.208 0.667 Cl
0.722 0.792 0.667 Cl
0.762 0.000 0.189 Cl
0.777 0.500 0.137 Cl

[2]
HfCoNiP (PBE, optimized geometry); energy of formation from the pure elements = -0.574 eV per atom; symmetry = Pmm2 (25); crystal system = orthorhombic; total magnetic moment = 0.0 μB/cell; calculated volume = 13.990 A^3/atom; distance to the lowest polymorph of the same formula = 97 meV/atom; DOS(E_F) = 0.72 states/eV per atom
1.0
3.542 0.000 0.000
0.000 3.629 0.000
0.000 0.000 4.353
Hf Co Ni P
1 1 1 1
direct
0.000 0.000 0.000 Hf
0.000 0.500 0.534 Co
0.500 0.000 0.539 Ni
0.500 0.500 0.239 P

[3]
TaInPd3 (PBE, optimized geometry); energy of formation from the pure elements = 1.163 eV per atom; symmetry = Pm-3m (221); crystal system = cubic; total magnetic moment = 0.0 μB/cell; calculated volume = 22.054 A^3/atom; distance to the lowest polymorph of the same formula = 448 meV/atom; DOS(E_F) = 1.66 states/eV per atom
1.0
4.795 0.000 0.000
0.000 4.795 0.000
0.000 0.000 4.795
Ta In Pd
1 1 3
direct
0.000 0.000 0.000 Ta
0.500 0.500 0.500 In
0.000 0.500 0.500 Pd
0.500 0.000 0.500 Pd
0.500 0.500 0.000 Pd

[4]
Ac5LaPt3 (PBE, optimized geometry); energy of formation from the pure elements = -0.784 eV per atom; symmetry = P2/m (10); crystal system = monoclinic; total magnetic moment = 0.0 μB/cell; calculated volume = 38.344 A^3/atom; DOS(E_F) = 0.89 states/eV per atom
1.0
7.331 0.000 0.000
0.000 4.396 0.000
-0.386 0.000 21.417
Ac La Pt
10 2 6
direct
0.162 0.000 0.253 Ac
0.164 0.000 0.921 Ac
0.169 0.000 0.589 Ac
0.334 0.500 0.420 Ac
0.335 0.500 0.090 Ac
0.665 0.500 0.910 Ac
0.666 0.500 0.580 Ac
0.831 0.000 0.411 Ac
0.836 0.000 0.079 Ac
0.838 0.000 0.747 Ac
0.332 0.500 0.756 La
0.668 0.500 0.244 La
0.000 0.500 0.000 Pt
0.007 0.500 0.669 Pt
0.492 0.000 0.830 Pt
0.500 0.000 0.500 Pt
0.508 0.000 0.170 Pt
0.993 0.500 0.331 Pt

[5]
HoThAlIn (PBE, optimized geometry); energy of formation from the pure elements = -0.270 eV per atom; symmetry = F-43m (216); crystal system = cubic; total magnetic moment = 0.0 μB/cell; calculated volume = 26.360 A^3/atom; DOS(E_F) = 0.97 states/eV per atom
1.0
7.499 0.000 0.000
0.000 7.499 0.000
0.000 0.000 7.499
Ho Th Al In
4 4 4 4
direct
0.000 0.000 0.000 Ho
0.000 0.500 0.500 Ho
0.500 0.000 0.500 Ho
0.500 0.500 0.000 Ho
0.000 0.000 0.500 Th
0.000 0.500 0.000 Th
0.500 0.000 0.000 Th
0.500 0.500 0.500 Th
0.250 0.250 0.250 Al
0.250 0.750 0.750 Al
0.750 0.250 0.750 Al
0.750 0.750 0.250 Al
0.250 0.250 0.750 In
0.250 0.750 0.250 In
0.750 0.250 0.250 In
0.750 0.750 0.750 In

[6]
YGa2Rh2 (PBE, optimized geometry); energy of formation from the pure elements = -0.809 eV per atom; symmetry = I4/mmm (139); crystal system = tetragonal; total magnetic moment = 0.0 μB/cell; calculated volume = 18.043 A^3/atom; DOS(E_F) = 0.51 states/eV per atom
1.0
4.239 0.000 0.000
0.000 4.239 0.000
0.000 0.000 10.040
Y Ga Rh
2 4 4
direct
0.000 0.000 0.000 Y
0.500 0.500 0.500 Y
0.000 0.000 0.375 Ga
0.000 0.000 0.625 Ga
0.500 0.500 0.125 Ga
0.500 0.500 0.875 Ga
0.000 0.500 0.250 Rh
0.000 0.500 0.750 Rh
0.500 0.000 0.250 Rh
0.500 0.000 0.750 Rh

[7]
Tm4Bi2Ru (PBE, optimized geometry); energy of formation from the pure elements = -0.549 eV per atom; symmetry = Pbam (55); crystal system = orthorhombic; total magnetic moment = 0.0 μB/cell; calculated volume = 29.289 A^3/atom; DOS(E_F) = 0.59 states/eV per atom
1.0
7.881 0.000 0.000
0.000 12.046 0.000
0.000 0.000 4.319
Tm Bi Ru
8 4 2
direct
0.130 0.195 0.000 Tm
0.206 0.942 0.500 Tm
0.294 0.442 0.500 Tm
0.370 0.695 0.000 Tm
0.630 0.305 0.000 Tm
0.706 0.558 0.500 Tm
0.794 0.058 0.500 Tm
0.870 0.805 0.000 Tm
0.078 0.670 0.500 Bi
0.422 0.170 0.500 Bi
0.578 0.830 0.500 Bi
0.922 0.330 0.500 Bi
0.000 0.000 0.000 Ru
0.500 0.500 0.000 Ru

[8]
BaCr2Cu (PBE, optimized geometry); energy of formation from the pure elements = 1.031 eV per atom; symmetry = P4/mmm (123); crystal system = tetragonal; total magnetic moment = 8.6 μB/cell; calculated volume = 23.417 A^3/atom; distance to the lowest polymorph of the same formula = 461 meV/atom; DOS(E_F) = 0.72 states/eV per atom
1.0
4.427 0.000 0.000
0.000 4.427 0.000
0.000 0.000 4.780
Ba Cr Cu
1 2 1
direct
0.000 0.000 0.000 Ba
0.000 0.500 0.500 Cr
0.500 0.000 0.500 Cr
0.500 0.500 0.000 Cu